Entry from the Alexandria database: crystalline Ir3OsRu at its relaxed geometry (PBE).

For the total energy, the calculation gives -8.813 eV per atom. The value obtained for the formation energy is 0.60 eV per atom. The relative energy among the computed polymorphs is 0.606 eV per atom. The crystal system is orthorhombic.

The space group is Imma (No. 74) and the conventional cell measures 4.4739, 10.7602 and 6.6810 Å, with angles of 90.00, 90.00 and 90.00 degrees. The inequivalent atoms are Ir at (0.0000, 0.0978, 0.1213), Ir at (0.0000, 0.2500, 0.4350), Os at (0.0000, 0.2500, 0.8263) and Ru at (0.0000, 0.0000, 0.5000).

=====

Entry from the Alexandria database: crystalline Ir4Os2Ru at its relaxed geometry (PBE).

For the total energy, the calculation gives -9.142 eV per atom. The value obtained for the formation energy is 0.46 eV per atom. The relative energy among the computed polymorphs is 0.000 eV per atom. The crystal system is orthorhombic.

The space group is Pbam (No. 55) and the conventional cell measures 4.7008, 10.6018 and 4.3361 Å, with angles of 90.00, 90.00 and 90.00 degrees. The inequivalent atoms are Ir at (0.0434, 0.1849, 0.0000), Ir at (0.2187, 0.0683, 0.5000), Os at (0.2252, 0.3223, 0.5000) and Ru at (0.0000, 0.5000, 0.0000).

=====

Entry from the Alexandria database: crystalline Ir8OsRu5 at its relaxed geometry (PBE).

For the total energy, the calculation gives -8.745 eV per atom. The value obtained for the formation energy is 0.43 eV per atom. The crystal system is tetragonal.

The space group is I-4 (No. 82) and the conventional cell measures 7.5832, 7.5832 and 7.4821 Å, with angles of 90.00, 90.00 and 90.00 degrees. The inequivalent atoms are Ir at (0.0689, 0.1579, 0.1755), Ir at (0.1249, 0.3127, 0.4944), Os at (0.0000, 0.0000, 0.5000), Ru at (0.0000, 0.5000, 0.2500) and Ru at (0.1033, 0.3065, 0.8347).

=====

Entry from the Alexandria database: crystalline Ir12Os4Ru3 at its relaxed geometry (PBE).

For the total energy, the calculation gives -8.540 eV per atom. The value obtained for the formation energy is 0.88 eV per atom. The crystal system is cubic.

The space group is Im-3 (No. 204) and the conventional cell measures 9.2627, 9.2627 and 9.2627 Å, with angles of 90.00, 90.00 and 90.00 degrees. The inequivalent atoms are Ir at (0.0000, 0.2648, 0.3608), Os at (0.2500, 0.2500, 0.2500) and Ru at (0.0000, 0.0000, 0.5000).

=====

Entry from the Alexandria database: crystalline IrOs2Ru at its relaxed geometry (PBE).

For the total energy, the calculation gives -10.090 eV per atom. The value obtained for the formation energy is 0.06 eV per atom. The relative energy among the computed polymorphs is 0.073 eV per atom. The crystal system is monoclinic.

The space group is C2/m (No. 12) and the conventional cell measures 9.0387, 2.7153 and 4.7188 Å, with angles of 90.00, 99.97 and 90.00 degrees. The inequivalent atoms are Ir at (0.0000, 0.0000, 0.0000), Os at (0.2495, 0.0000, 0.7478) and Ru at (0.0000, 0.5000, 0.5000).

=====

Entry from the Alexandria database: crystalline IrOs2Ru at its relaxed geometry (PBE).

For the total energy, the calculation gives -9.969 eV per atom. The value obtained for the formation energy is 0.18 eV per atom. The relative energy among the computed polymorphs is 0.193 eV per atom. The crystal system is orthorhombic.

The space group is Amm2 (No. 38) and the conventional cell measures 4.2137, 2.7119 and 10.1113 Å, with angles of 90.00, 90.00 and 90.00 degrees. The inequivalent atoms are Ir at (0.0000, 0.0000, 0.0000), Os at (0.0000, 0.0000, 0.2574), Os at (0.5000, 0.0000, 0.5984) and Ru at (0.5000, 0.0000, 0.8544).

=====

Entry from the Alexandria database: crystalline Ir3OsRu at its relaxed geometry (PBE).

For the total energy, the calculation gives -7.261 eV per atom. The value obtained for the formation energy is 2.16 eV per atom. The relative energy among the computed polymorphs is 2.158 eV per atom. The crystal system is cubic.

The space group is Pm-3m (No. 221) and the conventional cell measures 4.6948, 4.6948 and 4.6948 Å, with angles of 90.00, 90.00 and 90.00 degrees. The inequivalent atoms are Ir at (0.0000, 0.0000, 0.5000), Os at (0.0000, 0.0000, 0.0000) and Ru at (0.5000, 0.5000, 0.5000).

=====

Entry from the Alexandria database: crystalline Ir2OsRu2 at its relaxed geometry (PBE).

For the total energy, the calculation gives -9.026 eV per atom. The value obtained for the formation energy is 0.47 eV per atom. The relative energy among the computed polymorphs is 0.000 eV per atom. The crystal system is orthorhombic.

The space group is Immm (No. 71) and the conventional cell measures 3.9031, 6.1656 and 6.3164 Å, with angles of 90.00, 90.00 and 90.00 degrees. The inequivalent atoms are Ir at (0.0000, 0.2049, 0.0000), Os at (0.0000, 0.0000, 0.5000) and Ru at (0.0000, 0.5000, 0.2991).

=====

What is the formula in the eighth record? Ir2OsRu2